Here is a relaxed CsBaAu4 crystal from the Alexandria database. Energies are from PBE.

## Properties
- Energy relative to the elements: -454.3 meV/atom
- DFT total energy: -0.1140 Ha/atom
- Crystal system: tetragonal

```
data_CsBaAu4
_cell_length_a 4.734
_cell_length_b 4.734
_cell_length_c 16.957
_cell_angle_alpha 90.00
_cell_angle_beta 90.00
_cell_angle_gamma 90.00
_space_group_name_H-M_alt 'I -4 m 2'
_space_group_IT_number 119
_space_group_name_Hall 'I -4 -2'
loop_
_atom_site_label
_atom_site_fract_x
_atom_site_fract_y
_atom_site_fract_z
_atom_site_occupancy
Cs1 0.000 0.000 0.000 1
Ba1 0.000 0.500 0.750 1
Au1 0.000 0.000 0.416 1
Au2 0.000 0.500 0.170 1
```